(1)
Compound: Cd2ReSbSe
Source: Alexandria via LeMat-Bulk
Functional: PBE
Structure: relaxed

Unit cell a=5.121 b=5.609 c=5.121 alpha=90.00 beta=90.00 gamma=90.00
Element x y z (fractional)
Re 0.500 0.500 0.500
Cd 0.000 0.000 0.500
Cd 0.500 0.000 0.000
Se 0.000 0.000 0.000
Sb 0.000 0.500 0.000

Results
As for the space-group type: P4/mmm. The value obtained for the calculated volume is 29.42 Å³ per atom. Its density of states at the Fermi level is 0.651 states/eV per atom. For the energy, the calculation gives -2.9452 eV per atom.


(2)
Compound: Na2Be2SnO6
Source: Alexandria via LeMat-Bulk
Functional: PBE
Structure: relaxed

Unit cell a=5.220 b=5.220 c=5.961 alpha=90.00 beta=90.00 gamma=120.00
Element x y z (fractional)
Na 0.333 0.667 0.385
Na 0.667 0.333 0.615
Be 0.333 0.667 0.839
Be 0.667 0.333 0.161
Sn 0.000 0.000 0.000
O 0.291 0.356 0.799
O 0.065 0.709 0.799
O 0.644 0.935 0.799
O 0.709 0.644 0.201
O 0.935 0.291 0.201
O 0.356 0.065 0.201

Results
As for the space-group type: P-3. The value obtained for the calculated volume is 12.79 Å³ per atom. Its density of states at the Fermi level is 0.666 states/eV per atom. For the energy, the calculation gives -5.5736 eV per atom.


(3)
Compound: P2RuNO
Source: Alexandria via LeMat-Bulk
Functional: PBE
Structure: relaxed

Unit cell a=4.613 b=4.613 c=3.629 alpha=90.00 beta=90.00 gamma=90.00
Element x y z (fractional)
Ru 0.000 0.000 0.000
N 0.500 0.500 0.500
O 0.000 0.000 0.500
P 0.000 0.500 0.000
P 0.500 0.000 0.000

Results
As for the space-group type: P4/mmm. The value obtained for the calculated volume is 15.45 Å³ per atom. Its density of states at the Fermi level is 0.590 states/eV per atom. For the energy, the calculation gives -5.5454 eV per atom.


(4)
Compound: LiZrRe2Pt
Source: Alexandria via LeMat-Bulk
Functional: PBE
Structure: relaxed

Unit cell a=4.884 b=5.043 c=4.884 alpha=90.00 beta=90.00 gamma=90.00
Element x y z (fractional)
Re 0.000 0.000 0.500
Re 0.500 0.000 0.000
Zr 0.000 0.000 0.000
Pt 0.000 0.500 0.000
Li 0.500 0.500 0.500

Results
As for the space-group type: P4/mmm. For the formation energy from the elements, the calculation gives 9.4 eV per formula unit. The value obtained for the calculated volume is 24.06 Å³ per atom. Its density of states at the Fermi level is 1.078 states/eV per atom. For the energy, the calculation gives -6.4013 eV per atom.


(5)
Compound: Dy6TmIn5
Source: Alexandria via LeMat-Bulk
Functional: PBE
Structure: relaxed

Unit cell a=6.157 b=10.392 c=7.585 alpha=46.76 beta=81.37 gamma=77.35
Element x y z (fractional)
Dy 0.737 0.095 0.352
Dy 0.263 0.553 0.352
Dy 0.225 0.275 0.000
Dy 0.775 0.725 0.000
Dy 0.737 0.447 0.648
Dy 0.263 0.905 0.648
Tm 0.000 0.000 0.000
In 0.500 0.139 0.721
In 0.000 0.301 0.398
In 0.500 0.500 0.000
In 0.000 0.699 0.602
In 0.500 0.861 0.279

Results
As for the space-group type: C2/m. For the formation energy from the elements, the calculation gives -3.1 eV per formula unit. The value obtained for the calculated volume is 28.75 Å³ per atom. Its density of states at the Fermi level is 0.962 states/eV per atom. For the energy, the calculation gives -4.0712 eV per atom.


(6)
Compound: MnCu4P
Source: Alexandria via LeMat-Bulk
Functional: PBE
Structure: relaxed

Unit cell a=4.839 b=4.839 c=4.839 alpha=60.00 beta=60.00 gamma=60.00
Element x y z (fractional)
Mn 0.250 0.250 0.250
Cu 0.126 0.625 0.625
Cu 0.625 0.625 0.625
Cu 0.625 0.126 0.625
Cu 0.625 0.625 0.126
P 0.000 0.000 0.000

Results
As for the space-group type: F-43m. For the formation energy from the elements, the calculation gives 1.4 eV per formula unit. The value obtained for the calculated volume is 13.36 Å³ per atom. Its density of states at the Fermi level is 0.313 states/eV per atom. For the energy, the calculation gives -4.9346 eV per atom.


(7)
Compound: BaMg2Pd
Source: Alexandria via LeMat-Bulk
Functional: PBE
Structure: relaxed

Unit cell a=4.670 b=4.670 c=6.768 alpha=69.82 beta=69.82 gamma=60.00
Element x y z (fractional)
Mg 0.802 0.802 0.595
Mg 0.198 0.198 0.405
Ba 0.000 0.000 0.000
Pd 0.500 0.500 0.500

Results
As for the space-group type: R-3m. For the formation energy from the elements, the calculation gives -1.3 eV per formula unit. The value obtained for the calculated volume is 29.31 Å³ per atom. Its density of states at the Fermi level is 0.792 states/eV per atom. For the energy, the calculation gives -2.8973 eV per atom.


(8)
Compound: CaErAgRh
Source: Alexandria via LeMat-Bulk
Functional: PBE
Structure: relaxed

Unit cell a=3.463 b=3.463 c=7.430 alpha=90.00 beta=90.00 gamma=90.00
Element x y z (fractional)
Ca 0.500 0.500 0.801
Er 0.500 0.500 0.350
Ag 0.000 0.000 0.088
Rh 0.000 0.000 0.545

Results
As for the space-group type: P4mm. For the formation energy from the elements, the calculation gives -2.1 eV per formula unit. The value obtained for the calculated volume is 22.28 Å³ per atom. Its density of states at the Fermi level is 0.616 states/eV per atom. For the energy, the calculation gives -4.7204 eV per atom.


(9)
Compound: Ac5Tb2Pr5
Source: Alexandria via LeMat-Bulk
Functional: PBE
Structure: relaxed

Unit cell a=5.993 b=9.566 c=9.599 alpha=66.12 beta=71.81 gamma=71.74
Element x y z (fractional)
Ac 0.877 0.785 0.460
Ac 0.252 0.738 0.758
Ac 0.748 0.262 0.242
Ac 0.123 0.215 0.540
Ac 0.000 0.000 0.000
Tb 0.874 0.454 0.797
Tb 0.126 0.546 0.203
Pr 0.500 0.500 0.500
Pr 0.376 0.293 0.955
Pr 0.377 0.961 0.284
Pr 0.623 0.039 0.716
Pr 0.624 0.707 0.045

Results
As for the space-group type: C2/m. For the formation energy from the elements, the calculation gives 0.8 eV per formula unit. The value obtained for the calculated volume is 38.91 Å³ per atom. Its density of states at the Fermi level is 1.520 states/eV per atom. For the energy, the calculation gives -4.4084 eV per atom.


(10)
Compound: La4TbTm2Sc
Source: Alexandria via LeMat-Bulk
Functional: PBE
Structure: relaxed

Unit cell a=5.224 b=5.214 c=10.971 alpha=61.63 beta=90.00 gamma=90.00
Element x y z (fractional)
La 0.000 0.756 0.744
La 0.000 0.244 0.256
La 0.500 0.744 0.256
La 0.500 0.256 0.744
Tb 0.500 0.500 0.000
Tm 0.000 0.000 0.000
Tm 0.500 0.000 0.500
Sc 0.000 0.500 0.500

Results
As for the space-group type: P4/mmm. For the formation energy from the elements, the calculation gives 0.3 eV per formula unit. The value obtained for the calculated volume is 32.87 Å³ per atom. Its density of states at the Fermi level is 1.341 states/eV per atom. For the energy, the calculation gives -4.9191 eV per atom.


(11)
Compound: BaTaV2Ag
Source: Alexandria via LeMat-Bulk
Functional: PBE
Structure: relaxed

Unit cell a=4.853 b=5.591 c=4.853 alpha=90.00 beta=90.00 gamma=90.00
Element x y z (fractional)
V 0.000 0.000 0.500
V 0.500 0.000 0.000
Ba 0.000 0.500 0.000
Ag 0.000 0.000 0.000
Ta 0.500 0.500 0.500

Results
As for the space-group type: P4/mmm. For the formation energy from the elements, the calculation gives 10.9 eV per formula unit. The value obtained for the calculated volume is 26.33 Å³ per atom. Its density of states at the Fermi level is 2.153 states/eV per atom. For the energy, the calculation gives -4.7999 eV per atom.


(12)
Compound: ZrTiMo2
Source: Alexandria via LeMat-Bulk
Functional: PBE
Structure: relaxed

Unit cell a=7.236 b=7.236 c=5.826 alpha=51.61 beta=51.61 gamma=90.00
Element x y z (fractional)
Mo 0.607 0.125 0.250
Mo 0.143 0.625 0.250
Mo 0.375 0.393 0.750
Mo 0.875 0.857 0.750
Zr 0.000 0.000 0.000
Zr 0.750 0.250 0.500
Ti 0.500 0.500 0.000
Ti 0.250 0.750 0.500

Results
As for the space-group type: I-42d. For the formation energy from the elements, the calculation gives 2.2 eV per formula unit. The value obtained for the calculated volume is 18.23 Å³ per atom. Its density of states at the Fermi level is 1.259 states/eV per atom. For the energy, the calculation gives -8.9765 eV per atom.


Ρ for the records above, in order: 6.91, 3.29, 4.15, 9.19, 8.27, 7.05, 4.14, 7.79, 7.67, 6.93, 6.66, 7.54 g/cm³